Entry 1:
The following is a PBE calculation of a relaxed TaNb2Mo crystal, from Alexandria.

Lattice parameters (Å, degrees): 6.5073 6.5184 7.3488 90.00 115.88 90.00
With the nearest neighbours (Å) after each atom.
Fractional positions:
Ta 0.1288 0.0000 0.2582  4 Mo 2.80-2.81, 4 Nb 2.86-2.87
Ta 0.3712 0.5000 0.7418  4 Mo 2.80-2.81, 4 Nb 2.86-2.87
Ta 0.6288 0.5000 0.2582  4 Mo 2.80-2.81, 4 Nb 2.86-2.87
Ta 0.8712 0.0000 0.7418  4 Mo 2.80-2.81, 4 Nb 2.86-2.87
Nb 0.1295 0.5000 0.2595  4 Mo 2.79-2.81, 4 Nb 2.87-2.88
Nb 0.2500 0.2500 0.0000  4 Ta 2.86-2.87, 4 Nb 2.87-2.88
Nb 0.2500 0.7500 0.0000  4 Ta 2.86-2.87, 4 Nb 2.87-2.88
Nb 0.3705 0.0000 0.7405  4 Mo 2.79-2.81, 4 Nb 2.87-2.88
Nb 0.6295 0.0000 0.2595  4 Mo 2.79-2.81, 4 Nb 2.87-2.88
Nb 0.7500 0.2500 0.0000  4 Ta 2.86-2.87, 4 Nb 2.87-2.88
Nb 0.7500 0.7500 0.0000  4 Ta 2.86-2.87, 4 Nb 2.87-2.88
Nb 0.8705 0.5000 0.7405  4 Mo 2.79-2.81, 4 Nb 2.87-2.88
Mo 0.0000 0.2501 0.5000  4 Nb 2.79-2.81, 4 Ta 2.80-2.81
Mo 0.0000 0.7499 0.5000  4 Nb 2.79-2.81, 4 Ta 2.80-2.81
Mo 0.5000 0.2499 0.5000  4 Nb 2.79-2.81, 4 Ta 2.80-2.81
Mo 0.5000 0.7501 0.5000  4 Nb 2.79-2.81, 4 Ta 2.80-2.81

Values from the calculation:
Symmetry ... C2/m
Calculated total energy ... -10.798 eV per atom
Polymorph energy (0 for the lowest one) ... 0.00 eV/f.u.
DOS(E_F) ... 1.2596 states/eV/atom
Energy relative to the elements ... -92 meV/atom
Spin magnetization ... 0.00 μB per formula unit

***

Entry 2:
The following is a PBE calculation of a relaxed Ta7Nb2Mo2 crystal, from Alexandria.

Lattice parameters (Å, degrees): 8.4696 8.4696 8.4696 157.79 67.91 116.76
With the nearest neighbours (Å) after each atom.
Fractional positions:
Ta 0.0000 0.0000 0.0000  4 Ta 2.88, 2 Mo 2.97, 2 Nb 3.08
Ta 0.1261 0.4596 0.6665  2 Mo 2.70, 6 Ta 2.80-2.88
Ta 0.2813 0.9463 0.3350  2 Mo 2.71, 4 Ta 2.81-2.88, 2 Nb 2.86
Ta 0.5425 0.7035 0.8390  2 Nb 2.79, 4 Ta 2.80-2.81, 2 Mo 2.90
Ta 0.6113 0.9463 0.6650  2 Mo 2.71, 4 Ta 2.81-2.88, 2 Nb 2.86
Ta 0.7930 0.4596 0.3335  2 Mo 2.70, 6 Ta 2.80-2.88
Ta 0.8646 0.7035 0.1610  2 Nb 2.79, 4 Ta 2.80-2.81, 2 Mo 2.90
Nb 0.4068 0.4068 0.0000  4 Ta 2.86, 2 Mo 2.98, 2 Nb 3.12
Nb 0.7057 0.2057 0.5000  6 Ta 2.79-3.08, 2 Nb 3.12
Mo 0.0339 0.2021 0.8318  7 Ta 2.70-2.97, 1 Nb 2.98
Mo 0.3702 0.2021 0.1682  7 Ta 2.70-2.97, 1 Nb 2.98

Values from the calculation:
Symmetry ... Imm2
Calculated total energy ... -11.139 eV per atom
Polymorph energy (0 for the lowest one) ... 0.00 eV/f.u.
DOS(E_F) ... 1.1821 states/eV/atom
Energy relative to the elements ... 203 meV/atom
Spin magnetization ... 0.00 μB per formula unit

***

Entry 3:
The following is a PBE calculation of a relaxed Ta3Nb2Mo3 crystal, from Alexandria.

Lattice parameters (Å, degrees): 3.2491 4.6107 18.3429 90.00 90.00 90.00
With the nearest neighbours (Å) after each atom.
Fractional positions:
Ta 0.0000 0.0000 0.0000  8 Mo 2.80-2.82
Ta 0.0000 0.5000 0.1214  6 Mo 2.76-2.82, 2 Nb 2.92
Ta 0.0000 0.5000 0.8786  6 Mo 2.76-2.82, 2 Nb 2.92
Ta 0.5000 0.0000 0.3786  6 Mo 2.76-2.82, 2 Nb 2.92
Ta 0.5000 0.0000 0.6214  6 Mo 2.76-2.82, 2 Nb 2.92
Ta 0.5000 0.5000 0.5000  8 Mo 2.80-2.82
Nb 0.0000 0.0000 0.2460  2 Mo 2.76, 4 Nb 2.82, 2 Ta 2.92
Nb 0.0000 0.0000 0.7540  2 Mo 2.76, 4 Nb 2.82, 2 Ta 2.92
Nb 0.5000 0.5000 0.2540  2 Mo 2.76, 4 Nb 2.82, 2 Ta 2.92
Nb 0.5000 0.5000 0.7460  2 Mo 2.76, 4 Nb 2.82, 2 Ta 2.92
Mo 0.0000 0.0000 0.5000  8 Ta 2.76-2.82
Mo 0.0000 0.5000 0.3757  2 Nb 2.76, 6 Ta 2.80-2.82
Mo 0.0000 0.5000 0.6243  2 Nb 2.76, 6 Ta 2.80-2.82
Mo 0.5000 0.0000 0.1243  2 Nb 2.76, 6 Ta 2.80-2.82
Mo 0.5000 0.0000 0.8757  2 Nb 2.76, 6 Ta 2.80-2.82
Mo 0.5000 0.5000 0.0000  8 Ta 2.76-2.82

Values from the calculation:
Symmetry ... Immm
Calculated total energy ... -11.183 eV per atom
DOS(E_F) ... 0.8623 states/eV/atom
Energy relative to the elements ... -160 meV/atom
Spin magnetization ... 0.00 μB per formula unit

***

Entry 4:
The following is a PBE calculation of a relaxed TaNbMo2 crystal, from Alexandria.

Lattice parameters (Å, degrees): 3.0209 4.5374 10.6405 90.00 90.00 90.00
With the nearest neighbours (Å) after each atom.
Fractional positions:
Ta 0.0000 0.0000 0.0000  2 Mo 2.66, 4 Nb 2.73
Ta 0.5000 0.5000 0.5000  2 Mo 2.66, 4 Nb 2.73
Nb 0.0000 0.0000 0.5000  2 Mo 2.66, 4 Ta 2.73
Nb 0.5000 0.5000 0.0000  2 Mo 2.66, 4 Ta 2.73
Mo 0.0000 0.0000 0.2498  1 Ta 2.66, 1 Nb 2.66, 4 Mo 2.73
Mo 0.0000 0.0000 0.7502  1 Ta 2.66, 1 Nb 2.66, 4 Mo 2.73
Mo 0.5000 0.5000 0.2502  1 Ta 2.66, 1 Nb 2.66, 4 Mo 2.73
Mo 0.5000 0.5000 0.7498  1 Ta 2.66, 1 Nb 2.66, 4 Mo 2.73

Values from the calculation:
Symmetry ... Immm
Calculated total energy ... -10.143 eV per atom
Polymorph energy (0 for the lowest one) ... 3.71 eV/f.u.
DOS(E_F) ... 1.0221 states/eV/atom
Energy relative to the elements ... 754 meV/atom
Spin magnetization ... 0.00 μB per formula unit

***

What is the formula in the second record? Ta7Nb2Mo2

***

What did the fourth record say?
The following is a PBE calculation of a relaxed TaNbMo2 crystal, from Alexandria.

Lattice parameters (Å, degrees): 3.0209 4.5374 10.6405 90.00 90.00 90.00
With the nearest neighbours (Å) after each atom.
Fractional positions:
Ta 0.0000 0.0000 0.0000  2 Mo 2.66, 4 Nb 2.73
Ta 0.5000 0.5000 0.5000  2 Mo 2.66, 4 Nb 2.73
Nb 0.0000 0.0000 0.5000  2 Mo 2.66, 4 Ta 2.73
Nb 0.5000 0.5000 0.0000  2 Mo 2.66, 4 Ta 2.73
Mo 0.0000 0.0000 0.2498  1 Ta 2.66, 1 Nb 2.66, 4 Mo 2.73
Mo 0.0000 0.0000 0.7502  1 Ta 2.66, 1 Nb 2.66, 4 Mo 2.73
Mo 0.5000 0.5000 0.2502  1 Ta 2.66, 1 Nb 2.66, 4 Mo 2.73
Mo 0.5000 0.5000 0.7498  1 Ta 2.66, 1 Nb 2.66, 4 Mo 2.73

Values from the calculation:
Symmetry ... Immm
Calculated total energy ... -10.143 eV per atom
Polymorph energy (0 for the lowest one) ... 3.71 eV/f.u.
DOS(E_F) ... 1.0221 states/eV/atom
Energy relative to the elements ... 754 meV/atom
Spin magnetization ... 0.00 μB per formula unit